Compound: V4Cu2Te
Source: Alexandria
Functional: GGA-PBE
Structure: relaxed

The calculation puts the formation energy from raw total energies at 1183 meV/atom. The final energy is -39.53 eV for the cell shown. For the density of states at the Fermi level, the calculation gives 2.23 states/eV per atom.

Unit cell a=7.124 b=7.124 c=7.124 alpha=140.16 beta=140.16 gamma=57.61
Element x y z (fractional)
V 0.000 0.500 0.500
V 0.211 0.211 0.000
V 0.500 0.000 0.500
V 0.789 0.789 0.000
Cu 0.404 0.404 0.000
Cu 0.596 0.596 0.000
Te 0.000 0.000 0.000